(1)
GGA-PBE Ce2IrPt, optimized geometry; magnetization = 0.04 μB/atom; E_tot = -7.599 eV/atom
1.0
4.0729 0.0000 0.0000
0.0000 7.0614 0.0964
-2.0365 -1.2715 6.6555
Ce Ir Pt
4 2 2
Cartesian
3.0534 4.0944 1.7930 Ce
1.0195 0.5637 1.7448 Ce
1.0169 5.2262 5.0072 Ce
-1.0170 1.6955 4.9589 Ce
-1.0182 -0.6357 3.3277 Ir
1.0182 2.8950 3.3760 Ir
3.0568 1.7653 0.0241 Pt
1.0162 5.2960 0.0723 Pt

(2)
GGA-PBE BaSn8Ir2, optimized geometry; magnetization = 0.00 μB/atom; E_tot = -4.815 eV/atom
1.0
-4.6291 -1.0057 4.4013
1.3594 -6.3216 -0.0148
5.8703 1.2471 6.4590
Ba Sn Ir
1 8 2
Cartesian
1.3003 -3.0401 5.4227 Ba
-1.4077 -5.2838 4.4516 Sn
1.6794 -1.3023 8.6081 Sn
2.3632 -4.4827 8.6007 Sn
-2.0915 -2.1035 4.4591 Sn
0.9212 -4.7779 2.2373 Sn
4.6921 -3.9767 6.3864 Sn
0.2373 -1.5975 2.2448 Sn
4.0082 -0.7964 6.3939 Sn
-2.3145 -0.5029 2.2007 Ir
0.6797 -3.1608 -0.0074 Ir

(3)
GGA-PBE Pr3Dy8Tm2, optimized geometry; magnetization = 0.00 μB/atom; E_tot = -4.491 eV/atom
1.0
-1.6413 -11.1363 -1.5922
3.9386 4.9171 2.2703
-5.6195 3.5116 21.6844
Pr Dy Tm
6 16 4
Cartesian
-0.3596 -0.7118 6.4454 Pr
-3.6304 -3.8123 10.0461 Pr
-2.1678 3.7962 16.6209 Pr
-1.1545 -6.5037 5.7417 Pr
0.0000 0.0000 0.0000 Pr
-2.9627 -1.9957 15.9171 Pr
1.1927 -3.1106 2.0979 Dy
-0.2936 -1.5989 10.0887 Dy
-0.7316 5.9395 18.9186 Dy
-2.6598 -2.4258 19.2445 Dy
-1.7286 -3.3135 4.1894 Dy
-1.4976 -3.6864 7.5825 Dy
0.5790 4.4323 10.9729 Dy
-5.2562 -4.7559 19.4939 Dy
1.9339 2.0484 2.8686 Dy
-3.9013 -7.1398 11.3896 Dy
-2.5907 -8.6470 3.4439 Dy
-1.5937 0.6060 18.1731 Dy
-0.6625 -0.2817 3.1180 Dy
-1.8247 0.9789 14.7800 Dy
-3.0287 -1.1086 12.2738 Dy
-4.5149 0.4031 20.2646 Dy
-1.1468 -5.8758 1.9227 Tm
-2.5402 -4.4758 13.4965 Tm
-0.7820 1.7683 8.8660 Tm
-2.1755 3.1682 20.4398 Tm

(4)
GGA-PBE CeNd5Ga6, optimized geometry; magnetization = 0.07 μB/atom; E_tot = -4.528 eV/atom
1.0
-4.8443 -0.5114 -1.8451
-6.7291 -4.3689 4.1633
-5.4372 4.4433 5.6866
Ce Nd Ga
1 5 6
Cartesian
0.0000 0.0000 0.0000 Ce
-7.1752 1.9999 3.5741 Nd
-4.0591 0.0367 3.2897 Nd
-5.7867 -2.4401 1.1591 Nd
-8.1071 0.0377 6.5601 Nd
-9.8354 -2.4368 4.4307 Nd
-6.0109 0.7327 0.8689 Ga
-6.9470 -1.1856 3.8574 Ga
-2.8969 -1.2299 0.5956 Ga
-8.6765 -3.6503 1.7226 Ga
-10.0635 0.7486 4.1473 Ga
-10.9997 -1.1697 7.1359 Ga

(5)
GGA-PBE AsHOsPd, optimized geometry; magnetization = 0.00 μB/atom; E_tot = -5.931 eV/atom
1.0
-1.6432 -1.1450 2.1566
-2.6188 -1.7284 -2.9076
3.0727 -3.1685 -0.6153
As H Os Pd
1 1 1 1
Cartesian
0.0808 -3.5171 -1.1151 As
-0.1685 -0.3258 -0.3356 H
-0.9682 -1.2668 -1.4666 Os
0.1795 -1.8492 1.0314 Pd

(6)
GGA-PBE AlAs2HSe, optimized geometry; magnetization = 0.20 μB/atom; E_tot = -3.115 eV/atom
1.0
-1.2840 -4.6558 -0.6597
2.7311 -1.2950 3.8242
-3.8960 0.6491 3.0021
H As Al Se
1 2 1 1
Cartesian
-1.2245 -2.6509 3.0833 H
1.3655 -0.6475 1.9121 As
-0.6420 -2.3279 -0.3298 As
0.0000 0.0000 0.0000 Al
-1.9480 0.3245 1.5011 Se

- Number 2 is which compound?
  BaSn8Ir2